(1)
VASP calculation (PBE) on a relaxed SnSbSe3 crystal.

Cell lengths 7.703, 4.774, 8.307 Å; angles 90.00, 96.03, 90.00 degrees
Fractional coordinates of all 10 atoms:
Sn 0.086 0.250 0.344
Sn 0.914 0.750 0.656
Sb 0.332 0.250 0.853
Sb 0.668 0.750 0.147
Se 0.132 0.750 0.924
Se 0.198 0.750 0.457
Se 0.416 0.250 0.164
Se 0.584 0.750 0.836
Se 0.802 0.250 0.543
Se 0.868 0.250 0.076

Output
- relative energy among the computed polymorphs (kJ/mol of atoms) = 7.1
- crystal system = monoclinic
- formation energy (no corrections) (eV/atom) = -0.223

***

(2)
VASP calculation (PBE) on a relaxed SmEuBi crystal.

Cell lengths 6.227, 6.227, 6.227 Å; angles 140.25, 140.25, 57.48 degrees
Fractional coordinates of all 3 atoms:
Sm 0.000 0.000 0.000
Eu 0.305 0.305 0.000
Bi 0.640 0.640 0.000

Output
- energy of formation (eV/atom) = -0.530
- crystal system = tetragonal

***

(3)
VASP calculation (PBE) on a relaxed U3Tl4RhS8 crystal.

Cell lengths 9.008, 9.008, 9.008 Å; angles 50.11, 50.11, 50.11 degrees
Fractional coordinates of all 16 atoms:
U 0.000 0.500 0.500
U 0.500 0.000 0.500
U 0.500 0.500 0.000
Tl 0.000 0.000 0.500
Tl 0.000 0.500 0.000
Tl 0.500 0.000 0.000
Tl 0.500 0.500 0.500
Rh 0.000 0.000 0.000
S 0.221 0.221 0.746
S 0.221 0.746 0.221
S 0.254 0.779 0.779
S 0.266 0.266 0.266
S 0.734 0.734 0.734
S 0.746 0.221 0.221
S 0.779 0.254 0.779
S 0.779 0.779 0.254

Output
- crystal system = trigonal
- formation energy (no corrections) (eV/atom) = -0.857

***

(4)
VASP calculation (PBE) on a relaxed Sm8Co2Hg crystal.

Cell lengths 7.985, 7.985, 5.531 Å; angles 97.63, 97.63, 115.28 degrees
Fractional coordinates of all 11 atoms:
Sm 0.077 0.334 0.568
Sm 0.245 0.755 0.000
Sm 0.334 0.077 0.568
Sm 0.390 0.390 0.195
Sm 0.610 0.610 0.805
Sm 0.666 0.923 0.432
Sm 0.755 0.245 0.000
Sm 0.923 0.666 0.432
Co 0.295 0.705 0.500
Co 0.705 0.295 0.500
Hg 0.000 0.000 0.000

Output
- energy of formation (eV/atom) = -0.056
- crystal system = monoclinic

***

(5)
VASP calculation (PBE) on a relaxed Ca2ScPaO6 crystal.

Cell lengths 5.697, 5.895, 9.964 Å; angles 90.00, 124.34, 90.00 degrees
Fractional coordinates of all 20 atoms:
Ca 0.234 0.051 0.249
Ca 0.234 0.449 0.749
Ca 0.766 0.551 0.251
Ca 0.766 0.949 0.751
Sc 0.000 0.000 0.500
Sc 0.000 0.500 0.000
Pa 0.500 0.000 0.000
Pa 0.500 0.500 0.500
O 0.131 0.200 0.939
O 0.131 0.300 0.439
O 0.238 0.696 0.937
O 0.238 0.804 0.437
O 0.363 0.050 0.747
O 0.363 0.450 0.247
O 0.637 0.550 0.753
O 0.637 0.950 0.253
O 0.762 0.196 0.563
O 0.762 0.304 0.063
O 0.869 0.700 0.561
O 0.869 0.800 0.061

Output
- crystal system = monoclinic
- formation energy (no corrections) (eV/atom) = -3.385

***

(6)
VASP calculation (PBE) on a relaxed CeSmFeC crystal.

Cell lengths 3.653, 3.653, 11.200 Å; angles 90.00, 90.00, 90.00 degrees
Fractional coordinates of all 8 atoms:
Ce 0.250 0.750 0.000
Ce 0.750 0.250 0.000
Sm 0.250 0.250 0.301
Sm 0.750 0.750 0.699
Fe 0.250 0.750 0.500
Fe 0.750 0.250 0.500
C 0.250 0.250 0.574
C 0.750 0.750 0.426

Output
- energy of formation (eV/atom) = 0.151
- crystal system = tetragonal

***

(7)
VASP calculation (PBE) on a relaxed V2PdCl crystal.

Cell lengths 4.350, 4.350, 4.350 Å; angles 60.00, 60.00, 60.00 degrees
Fractional coordinates of all 4 atoms:
V 0.250 0.250 0.250
V 0.750 0.750 0.750
Pd 0.000 0.000 0.000
Cl 0.500 0.500 0.500

Output
- relative energy among the computed polymorphs (kJ/mol of atoms) = 1.6
- crystal system = cubic
- formation energy (no corrections) (eV/atom) = 0.362

***

(8)
VASP calculation (PBE) on a relaxed HgBi2PtF crystal.

Cell lengths 5.615, 5.615, 5.106 Å; angles 90.00, 90.00, 90.00 degrees
Fractional coordinates of all 5 atoms:
Hg 0.000 0.000 0.000
Bi 0.000 0.500 0.000
Bi 0.500 0.000 0.000
Pt 0.000 0.000 0.500
F 0.500 0.500 0.500

Output
- crystal system = tetragonal
- formation energy (no corrections) (eV/atom) = 0.598

***

(9)
VASP calculation (PBE) on a relaxed LiSmPt crystal.

Cell lengths 5.220, 5.220, 5.220 Å; angles 138.28, 138.28, 60.47 degrees
Fractional coordinates of all 3 atoms:
Li 0.000 0.000 0.000
Sm 0.307 0.307 0.000
Pt 0.655 0.655 0.000

Output
- energy of formation (eV/atom) = -0.655
- relative energy among the computed polymorphs (kJ/mol of atoms) = 17.8
- crystal system = tetragonal

***

(10)
VASP calculation (PBE) on a relaxed AcMgBiAu crystal.

Cell lengths 5.461, 5.461, 5.461 Å; angles 60.00, 60.00, 60.00 degrees
Fractional coordinates of all 4 atoms:
Ac 0.000 0.000 0.000
Mg 0.500 0.500 0.500
Bi 0.250 0.250 0.250
Au 0.750 0.750 0.750

Output
- energy of formation (eV/atom) = -0.527
- crystal system = cubic

***

(11)
VASP calculation (PBE) on a relaxed ZrScCd2 crystal.

Cell lengths 5.609, 5.609, 5.609 Å; angles 134.58, 134.58, 66.19 degrees
Fractional coordinates of all 4 atoms:
Zr 0.000 0.000 0.000
Sc 0.750 0.250 0.500
Cd 0.250 0.750 0.500
Cd 0.500 0.500 0.000

Output
- energy of formation (eV/atom) = -0.048
- relative energy among the computed polymorphs (kJ/mol of atoms) = 12.3
- crystal system = tetragonal

***

(12)
VASP calculation (PBE) on a relaxed CaMgGa2Tc crystal.

Cell lengths 4.850, 4.850, 4.984 Å; angles 90.00, 90.00, 90.00 degrees
Fractional coordinates of all 5 atoms:
Ca 0.000 0.000 0.000
Mg 0.500 0.500 0.000
Ga 0.000 0.500 0.500
Ga 0.500 0.000 0.500
Tc 0.500 0.500 0.500

Output
- energy of formation (eV/atom) = -0.110
- crystal system = tetragonal

***

(13)
VASP calculation (PBE) on a relaxed ThSbTe crystal.

Cell lengths 13.742, 13.742, 4.410 Å; angles 90.00, 90.00, 160.48 degrees
Fractional coordinates of all 6 atoms:
Th 0.115 0.885 0.750
Th 0.885 0.115 0.250
Sb 0.461 0.539 0.250
Sb 0.539 0.461 0.750
Te 0.189 0.811 0.250
Te 0.811 0.189 0.750

Output
- crystal system = orthorhombic
- formation energy (no corrections) (eV/atom) = -0.253